Record 1
VASP calculation (PBE) on a relaxed structure of Be2HgSe.

Cell and atoms, written as CIF:
```
data_Be2HgSe
_symmetry_space_group_name_H-M 'P 4/m m m'
_symmetry_Int_Tables_number 123
_symmetry_space_group_name_Hall '-P 4 2'
_cell_length_a 3.172
_cell_length_b 3.172
_cell_length_c 6.307
_cell_angle_alpha 90.00
_cell_angle_beta 90.00
_cell_angle_gamma 90.00
loop_
_atom_site_label
_atom_site_fract_x
_atom_site_fract_y
_atom_site_fract_z
_atom_site_occupancy
Be1 0.000 0.000 0.190 1
Hg1 0.500 0.500 0.500 1
Se1 0.500 0.500 0.000 1
```

ΔE_f (raw) = 2.1 eV/f.u.

=====

Record 2
VASP calculation (PBE) on a relaxed structure of BeHg2Se.

Cell and atoms, written as CIF:
```
data_BeHg2Se
_symmetry_space_group_name_H-M 'R -3 m'
_symmetry_Int_Tables_number 166
_symmetry_space_group_name_Hall '-R 3 2"'
_cell_length_a 3.9585
_cell_length_b 3.9585
_cell_length_c 18.2669
_cell_angle_alpha 90.00
_cell_angle_beta 90.00
_cell_angle_gamma 120.00
loop_
_atom_site_label
_atom_site_fract_x
_atom_site_fract_y
_atom_site_fract_z
_atom_site_occupancy
Be1 0.0000 0.0000 0.0000 1
Hg1 0.0000 0.0000 0.2644 1
Se1 0.0000 0.0000 0.5000 1
```

ΔE_f (raw) = 1.1 eV/f.u.

=====

Record 3
VASP calculation (PBE) on a relaxed structure of Be2HgSe.

Cell and atoms, written as CIF:
```
data_Be2HgSe
_symmetry_space_group_name_H-M 'C 1 m 1'
_symmetry_Int_Tables_number 8
_cell_length_a 11.309
_cell_length_b 3.566
_cell_length_c 3.779
_cell_angle_alpha 90.00
_cell_angle_beta 90.49
_cell_angle_gamma 90.00
loop_
_symmetry_equiv_pos_as_xyz
'x,y,z'
'x,-y,z'
'x+1/2,y+1/2,z'
'x+1/2,-y+1/2,z'
loop_
_atom_site_label
_atom_site_fract_x
_atom_site_fract_y
_atom_site_fract_z
_atom_site_occupancy
Be1 0.000 0.000 0.000 1
Be2 0.108 0.500 0.001 1
Hg1 0.458 0.000 0.499 1
Se1 0.208 0.000 0.004 1
```

ΔE_f (raw) = 0.4 eV/f.u.